No. 1
Compound: LiScMn3
Source: Alexandria
Functional: meta-GGA SCAN
Structure: single point on PBEsol structure

The formation energy comes out at 494 meV/atom. As for the calculated density: 4.90 g/cm³.

It has space group Pm-3m (No. 221), with a = 4.188 Å, b = 4.188 Å, c = 4.188 Å, α = 90.00°, β = 90.00° and γ = 90.00°. Symmetry generates all atoms from Li at (0.000, 0.000, 0.000), Sc at (0.500, 0.500, 0.500) and Mn at (0.000, 0.000, 0.500).



No. 2
Compound: ZnCdGa4S8
Source: Alexandria
Functional: meta-GGA SCAN
Structure: single point on PBEsol structure

Its uncorrected formation energy is -816.8 meV per atom. As for the calculated density: 4.00 g/cm³.

It has space group P-4 (No. 81), with a = 5.364 Å, b = 5.364 Å, c = 10.292 Å, α = 90.00°, β = 90.00° and γ = 90.00°. Symmetry generates all atoms from Zn at (0.000, 0.000, 0.000), Cd at (0.500, 0.500, 0.500), Ga at (0.000, 0.000, 0.500), Ga at (0.000, 0.500, 0.246), Ga at (0.500, 0.500, 0.000), S at (0.224, 0.241, 0.641) and S at (0.249, 0.739, 0.871).



No. 3
Compound: Sb2TeOsPb
Source: Alexandria
Functional: meta-GGA SCAN
Structure: single point on PBEsol structure

Its uncorrected formation energy is 2115.2 meV per atom. As for the calculated density: 7.36 g/cm³.

It has space group P4/mmm (No. 123), with a = 5.562 Å, b = 5.562 Å, c = 5.602 Å, α = 90.00°, β = 90.00° and γ = 90.00°. Symmetry generates all atoms from Sb at (0.000, 0.500, 0.000), Te at (0.000, 0.000, 0.500), Os at (0.500, 0.500, 0.500) and Pb at (0.000, 0.000, 0.000).